PBE with a Hubbard U MnCdTcO2, relaxed; Fermi-level density of states = 0.670 states/eV/atom; space group = P4/mmm, No. 123; calculated density = 5.5 Mg/m³; VASP energy = -23.8 eV for the cell shown
1.0
4.129 0.000 0.000
0.000 4.129 0.000
0.000 0.000 5.287
Mn Cd Tc O
1 1 1 2
direct
0.000 0.000 0.000 Mn
0.000 0.000 0.500 Cd
0.500 0.500 0.000 Tc
0.000 0.500 0.500 O
0.500 0.000 0.500 O